# 1
Material: IrWO6
Method: DFT, GGA-PBEsol
State: optimized geometry

Unit cell a=5.328 b=5.331 c=9.243 alpha=90.00 beta=125.21 gamma=90.00
Fractional positions:
Ir 0.000 0.000 0.000
Ir 0.000 0.500 0.500
W 0.500 0.000 0.500
W 0.500 0.500 0.000
O 0.232 0.235 0.498
O 0.232 0.265 0.998
O 0.253 0.000 0.249
O 0.253 0.500 0.749
O 0.264 0.734 0.498
O 0.264 0.766 0.998
O 0.736 0.234 0.002
O 0.736 0.266 0.502
O 0.747 0.000 0.751
O 0.747 0.500 0.251
O 0.768 0.735 0.002
O 0.768 0.765 0.502

Summary:
- formation energy (no corrections) (eV per formula unit) = -10.318
- DFT total energy (eV per cell) = -130.89
- mass density (g/cm3) = 7.3

# 2
Material: Li2SiAg
Method: DFT, GGA-PBEsol
State: optimized geometry

Unit cell a=2.698 b=2.698 c=7.933 alpha=90.00 beta=90.00 gamma=90.00
Fractional positions:
Li 0.000 0.000 0.236
Li 0.000 0.000 0.764
Si 0.500 0.500 0.000
Ag 0.500 0.500 0.500

Summary:
- formation energy (no corrections) (eV per formula unit) = -0.784
- DFT total energy (eV per cell) = -13.78
- mass density (g/cm3) = 4.3

# 3
Material: SrW2Br
Method: DFT, GGA-PBEsol
State: optimized geometry

Unit cell a=6.482 b=6.482 c=4.601 alpha=108.57 beta=108.57 gamma=29.14
Fractional positions:
Sr 0.000 0.000 0.000
W 0.277 0.277 0.214
W 0.723 0.723 0.786
Br 0.500 0.500 0.500

Summary:
- formation energy (no corrections) (eV per formula unit) = 2.392
- energy above the lowest structure with this stoichiometry (eV/atom) = 0.000
- DFT total energy (eV per cell) = -28.93
- mass density (g/cm3) = 10.0

# 4
Material: BaAs2Ru
Method: DFT, GGA-PBEsol
State: optimized geometry

Unit cell a=4.710 b=4.710 c=4.037 alpha=90.00 beta=90.00 gamma=105.76
Fractional positions:
Ba 0.000 0.000 0.000
As 0.000 0.500 0.500
As 0.500 0.000 0.500
Ru 0.500 0.500 0.000

Summary:
- DFT total energy (eV per cell) = -21.02
- formation enthalpy at 0 K (meV/atom) = 379
- mass density (g/cm3) = 7.5

# 5
Material: LiAgMo2
Method: DFT, GGA-PBEsol
State: optimized geometry

Unit cell a=2.591 b=2.591 c=9.651 alpha=90.00 beta=90.00 gamma=107.31
Fractional positions:
Li 0.000 0.000 0.000
Ag 0.000 0.000 0.500
Mo 0.500 0.500 0.250
Mo 0.500 0.500 0.750

Summary:
- energy above the lowest structure with this stoichiometry (eV/atom) = 0.000
- DFT total energy (eV per cell) = -26.88
- formation enthalpy at 0 K (meV/atom) = 485
- mass density (g/cm3) = 8.2

# 6
Material: Mg2CdAg
Method: DFT, GGA-PBEsol
State: optimized geometry

Unit cell a=5.098 b=5.098 c=5.232 alpha=101.62 beta=101.62 gamma=36.00
Fractional positions:
Mg 0.244 0.244 0.243
Mg 0.756 0.756 0.757
Cd 0.000 0.000 0.500
Ag 0.500 0.500 0.000

Summary:
- energy above the lowest structure with this stoichiometry (eV/atom) = 0.107
- DFT total energy (eV per cell) = -8.27
- formation enthalpy at 0 K (meV/atom) = -81
- mass density (g/cm3) = 5.7

# 7
Material: La3TaB
Method: DFT, GGA-PBEsol
State: optimized geometry

Unit cell a=5.429 b=5.429 c=5.429 alpha=90.00 beta=90.00 gamma=90.00
Fractional positions:
La 0.000 0.000 0.500
La 0.000 0.500 0.000
La 0.500 0.000 0.000
Ta 0.000 0.000 0.000
B 0.500 0.500 0.500

Summary:
- DFT total energy (eV per cell) = -29.06
- formation enthalpy at 0 K (meV/atom) = 1309
- mass density (g/cm3) = 6.3

# 8
Material: Sr2BOsPd
Method: DFT, GGA-PBEsol
State: optimized geometry

Unit cell a=5.663 b=5.663 c=4.656 alpha=90.00 beta=90.00 gamma=90.00
Fractional positions:
Sr 0.000 0.500 0.000
Sr 0.500 0.000 0.000
B 0.000 0.000 0.500
Os 0.500 0.500 0.000
Pd 0.500 0.500 0.500

Summary:
- DFT total energy (eV per cell) = -22.02
- formation enthalpy at 0 K (meV/atom) = 1371
- mass density (g/cm3) = 5.4

Number 1: spin magnetization 0.00 μB per atom, V 13.41 A^3/atom. Number 2: spin magnetization 0.00 μB per atom, V 14.44 A^3/atom. Number 3: spin magnetization 0.00 μB per atom, V 22.23 A^3/atom. Number 4: spin magnetization 0.00 μB per atom, V 21.55 A^3/atom. Number 5: spin magnetization 0.00 μB per atom, V 15.46 A^3/atom. Number 6: spin magnetization 0.00 μB per atom, V 19.52 A^3/atom. Number 7: spin magnetization 0.00 μB per atom, V 32.01 A^3/atom. Number 8: spin magnetization 0.00 μB per atom, V 29.86 A^3/atom.